A relaxed structure of U6Re2Os. Source: Alexandria via LeMat-Bulk, functional PBE.

Cell and atoms, written as extended XYZ:
```
9
Lattice="4.972 -2.298 0.000 4.972 2.298 0.000 -1.453 0.000 7.295" Properties=species:S:1:pos:R:3 pbc="T T T"
U 0.256 0.000 2.463
U 0.214 0.000 7.247
U 1.645 0.000 4.850
U 6.847 0.000 2.445
U 8.278 0.000 0.048
U 8.236 0.000 4.832
Re 3.638 0.000 2.430
Re 4.854 0.000 4.865
Os 4.972 0.000 0.000
```

Summary:
Energy of formation from the pure elements   -0.0777 eV/atom
DOS at the Fermi energy   2.109 states/eV per atom
Total energy   -104.55 eV/cell